A relaxed Cs3Rb2InBr6 crystal, computed with PBE. Values from VASP.

Summary:
Energy, eV per atom: -3.02
Formation energy (no corrections), eV per atom: -1.579

```
&SYSTEM
  ibrav = 0, nat = 12, ntyp = 4
/
ATOMIC_SPECIES
Br 79.90 Br.upf
In 114.82 In.upf
Cs 132.91 Cs.upf
Rb 85.47 Rb.upf
ATOMIC_POSITIONS crystal
Br 0.6604 0.0891 0.3209
In 0.5000 0.0000 0.0000
Br 0.0027 0.2342 0.0054
Br 0.9973 0.7658 0.9946
Cs 0.8338 0.1650 0.6675
Cs 0.1662 0.8350 0.3325
Cs 0.5000 0.5000 0.0000
Br 0.3304 0.4239 0.6607
Br 0.3396 0.9109 0.6791
Br 0.6696 0.5761 0.3393
Rb 0.8343 0.6687 0.6687
Rb 0.1657 0.3313 0.3313
CELL_PARAMETERS angstrom
5.0543 0.0000 0.0000
0.0000 10.0878 0.3513
-2.5272 -2.9153 10.6166
```